The following is a DFT calculation (PBE+U) of a geometry-optimized Na2TiFe3O6 structure.

total energy: -6.51 eV/atom
N(E_F): 0.00 states/eV per cell
calculated volume: 10.97 Å³/atom
ρ: 4.509 g/cm3
crystal system: monoclinic

Unit cell a=5.461 b=5.461 c=5.506 alpha=104.23 beta=104.23 gamma=115.47
Element x y z (fractional)
Na1 0.162 0.838 0.000
Na2 0.838 0.162 0.000
Ti1 0.500 0.500 0.000
Fe1 0.000 0.000 0.500
Fe2 0.329 0.671 0.500
Fe3 0.671 0.329 0.500
O1 0.099 0.398 0.731
O2 0.322 0.322 0.224
O3 0.398 0.099 0.731
O4 0.602 0.901 0.269
O5 0.678 0.678 0.776
O6 0.901 0.602 0.269